No. 1
The following is a PBE calculation of a relaxed TaMnAl2Au crystal, from the Alexandria database.

a b c (Å): 4.6554 4.6554 4.8535
angles (deg): 90.00 90.00 90.00
Last column: nearest neighbours and their distance in Å.
Space group P4/mmm (No. 123)
Symmetry-distinct sites (fractional):
1 Ta 0.0000 0.0000 0.0000 x1  4 Mn 3.29, 8 Al 3.36
2 Mn 0.5000 0.5000 0.0000 x1  2 Au 2.43
3 Al 0.0000 0.5000 0.5000 x2  2 Au 2.33
4 Au 0.5000 0.5000 0.5000 x1  4 Al 2.33, 2 Mn 2.43

Properties
For the mass density, the calculation gives 7.69 g/cm³.



No. 2
The following is a PBE calculation of a relaxed U2AlCo4Ge3 crystal, from the Alexandria database.

a b c (Å): 3.8471 3.8471 10.3569
angles (deg): 90.00 90.00 90.00
Last column: nearest neighbours and their distance in Å.
Space group P-4m2 (No. 115)
Symmetry-distinct sites (fractional):
1 U 0.0000 0.5000 0.2487 x2  8 Co 2.91-3.24, 6 Ge 3.01-3.22, 2 Al 3.22
2 Al 0.5000 0.5000 0.0000 x1  4 Co 2.46, 4 Ge 2.72
3 Co 0.0000 0.0000 0.5000 x1  4 Ge 2.33
4 Co 0.0000 0.5000 0.8512 x2  3 Ge 2.32-2.46, 2 Al 2.46
5 Co 0.5000 0.5000 0.5000 x1  4 Ge 2.33
6 Ge 0.0000 0.0000 0.0000 x1  4 Co 2.46, 4 Al 2.72
7 Ge 0.0000 0.5000 0.6271 x2  5 Co 2.32-2.33

Properties
For the mass density, the calculation gives 10.36 g/cm³.



Number 1: DFT formation energy 4.68 eV/f.u.. Number 2: DFT formation energy -3.63 eV/f.u..